# PBE Er3Cd7In2, optimized geometry
# - density of states at the Fermi level (states/eV/atom) = 0.621
# - final energy (eV per atom) = -2.296
# - formation enthalpy at 0 K (eV per atom) = -0.165
data_Er3Cd7In2
_cell_length_a 5.162
_cell_length_b 3.556
_cell_length_c 16.276
_cell_angle_alpha 90.00
_cell_angle_beta 90.19
_cell_angle_gamma 90.00
_space_group_name_H-M_alt 'P 1 2/m 1'
_space_group_IT_number 10
loop_
_space_group_symop_operation_xyz
'x,y,z'
'-x,-y,-z'
'-x,y,-z'
'x,-y,z'
loop_
_atom_site_label
_atom_site_type_symbol
_atom_site_fract_x
_atom_site_fract_y
_atom_site_fract_z
_atom_site_occupancy
Er1 Er 0.000 0.000 0.000 1
Er2 Er 0.250 0.500 0.360 1
Cd1 Cd 0.122 0.500 0.846 1
Cd2 Cd 0.251 0.000 0.533 1
Cd3 Cd 0.352 0.000 0.166 1
Cd4 Cd 0.500 0.500 0.000 1
In1 In 0.247 0.000 0.706 1